# 1
# MnFe7P8O32

A relaxed MnFe7P8O32 crystal (GGA+U, Alexandria).

Structure (POSCAR):
```
MnFe7P8O32
1.0
11.8398 0.0000 0.0000
0.0000 4.8782 -0.0013
0.0000 0.0373 9.9598
P Fe O Mn
8 7 32 1
direct
0.5000 0.4090 0.9000
0.0000 0.4064 0.9049
0.5000 0.0904 0.4036
0.0000 0.0927 0.4041
0.2480 0.9073 0.5962
0.7498 0.5947 0.0966
0.2502 0.5947 0.0966
0.7520 0.9073 0.5962
0.7509 0.0422 0.2749
0.0000 0.5426 0.2254
0.2498 0.4555 0.7766
0.2491 0.0422 0.2749
0.7502 0.4555 0.7766
0.5000 0.5426 0.2244
0.0000 0.9584 0.7262
0.6508 0.7548 0.6691
0.0000 0.3474 0.0556
0.1475 0.7580 0.6702
0.1014 0.2413 0.3306
0.8525 0.7580 0.6702
0.3987 0.2394 0.3308
0.8986 0.2413 0.3306
0.7512 0.8484 0.4458
0.6484 0.7420 0.1702
0.0000 0.7148 0.8791
0.1013 0.2585 0.8316
0.5000 0.3590 0.0517
0.6025 0.2670 0.8291
0.8512 0.7417 0.1702
0.5000 0.7233 0.8766
0.7495 0.2861 0.1222
0.5000 0.7818 0.3798
0.3492 0.7548 0.6691
0.2490 0.2146 0.6223
0.3516 0.7420 0.1702
0.0000 0.7847 0.3783
0.8987 0.2585 0.8316
0.7510 0.2146 0.6223
0.2505 0.2861 0.1222
0.2488 0.8484 0.4458
0.3975 0.2670 0.8291
0.5000 0.1518 0.5551
0.7506 0.6545 0.9460
0.6013 0.2394 0.3308
0.2494 0.6545 0.9460
0.0000 0.1508 0.5547
0.1488 0.7417 0.1702
0.5000 0.9319 0.7156
```

Calculated values
The value obtained for the total energy is -7.129 eV/atom. As for the space group: Pm, No. 6. As for the crystal system: monoclinic. As for the total moment: 38.9 Bohr magnetons per cell.

***

# 2
# MnFe5P6O24

A relaxed MnFe5P6O24 crystal (GGA+U, Alexandria).

Structure (POSCAR):
```
MnFe5P6O24
1.0
8.4354 0.0063 0.0045
3.9902 7.4320 0.0045
3.9902 2.3886 7.0376
O Fe P Mn
24 5 6 1
direct
0.4341 0.5953 0.2522
0.2485 0.9043 0.0613
0.7485 0.5619 0.4047
0.0131 0.6029 0.8234
0.3923 0.1772 0.9943
0.9402 0.7494 0.0969
0.0969 0.9402 0.7494
0.4983 0.6767 0.8929
0.1772 0.9943 0.3923
0.8234 0.0131 0.6029
0.7494 0.0969 0.9402
0.2522 0.4341 0.5953
0.0613 0.2485 0.9043
0.4047 0.7485 0.5619
0.9943 0.3923 0.1772
0.6029 0.8234 0.0131
0.5619 0.4047 0.7485
0.5017 0.3258 0.1056
0.3258 0.1056 0.5017
0.1056 0.5017 0.3258
0.6767 0.8929 0.4983
0.9043 0.0613 0.2485
0.5953 0.2522 0.4341
0.8929 0.4983 0.6767
0.3537 0.3537 0.3537
0.0000 0.0000 0.0000
0.4995 0.4995 0.4995
0.6460 0.6460 0.6460
0.1456 0.1456 0.1456
0.5463 0.2508 0.9518
0.0486 0.4518 0.7499
0.9518 0.5463 0.2508
0.4518 0.7499 0.0486
0.7499 0.0486 0.4518
0.2508 0.9518 0.5463
0.8543 0.8543 0.8543
```

Calculated values
The value obtained for the total energy is -7.103 eV/atom. For the density of states at the Fermi level, the calculation gives 6.9 states/eV per cell. As for the space group: R3, No. 146. As for the crystal system: trigonal. As for the total moment: 29.0 Bohr magnetons per cell.

***

# 3
# MnFe2P3O12

A relaxed MnFe2P3O12 crystal (GGA+U, Alexandria).

Structure (POSCAR):
```
MnFe2P3O12
1.0
8.6029 0.0279 0.0198
4.2337 7.4891 0.0198
4.2337 2.4792 7.0668
O P Mn Fe
24 6 2 4
direct
0.5890 0.4405 0.2417
0.9961 0.1833 0.3892
0.1108 0.3167 0.5039
0.7583 0.4110 0.5595
0.8167 0.6108 0.0039
0.0595 0.9110 0.2583
0.3167 0.5039 0.1108
0.9110 0.2583 0.0595
0.6833 0.4961 0.8892
0.4961 0.8892 0.6833
0.0890 0.7417 0.9405
0.3892 0.9961 0.1833
0.9405 0.0890 0.7417
0.2583 0.0595 0.9110
0.8892 0.6833 0.4961
0.7417 0.9405 0.0890
0.6108 0.0039 0.8167
0.2417 0.5890 0.4405
0.1833 0.3892 0.9961
0.5595 0.7583 0.4110
0.4110 0.5595 0.7583
0.4405 0.2417 0.5890
0.0039 0.8167 0.6108
0.5039 0.1108 0.3167
0.4557 0.0443 0.7500
0.2500 0.5443 0.9557
0.0443 0.7500 0.4557
0.9557 0.2500 0.5443
0.7500 0.4557 0.0443
0.5443 0.9557 0.2500
0.5000 0.5000 0.5000
0.0000 0.0000 0.0000
0.6453 0.6453 0.6453
0.8547 0.8547 0.8547
0.3547 0.3547 0.3547
0.1453 0.1453 0.1453
```

Calculated values
The value obtained for the total energy is -7.175 eV/atom. For the density of states at the Fermi level, the calculation gives 17.1 states/eV per cell. As for the space group: R-3c, No. 167. As for the crystal system: trigonal. As for the total moment: 28.4 Bohr magnetons per cell.

***

# 4
# MnFePO2

A relaxed MnFePO2 crystal (GGA+U, Alexandria).

Structure (POSCAR):
```
MnFePO2
1.0
3.7373 0.0000 0.0000
0.0000 3.7373 0.0000
0.0000 0.0000 5.0713
Fe O Mn P
1 2 1 1
direct
0.0000 0.0000 0.0000
0.0000 0.5000 0.0000
0.5000 0.0000 0.0000
0.5000 0.5000 0.5000
0.0000 0.0000 0.5000
```

Calculated values
The value obtained for the total energy is -6.024 eV/atom. For the density of states at the Fermi level, the calculation gives 1.4 states/eV per cell. As for the space group: P4/mmm, No. 123. As for the crystal system: tetragonal. As for the total moment: 8.5 Bohr magnetons per cell.

***

# 5
# Mn2FeP3O12

A relaxed Mn2FeP3O12 crystal (GGA+U, Alexandria).

Structure (POSCAR):
```
Mn2FeP3O12
1.0
-8.3228 0.4825 -1.3723
-2.7904 -0.8797 -7.9262
-4.1264 -7.0938 -2.0088
O P Mn Fe
24 6 4 2
direct
0.7524 0.9362 0.0964
0.5964 0.4362 0.2524
0.4362 0.2524 0.5964
0.7476 0.4036 0.5638
0.2476 0.0638 0.9036
0.3955 0.9883 0.1793
0.3207 0.5117 0.1045
0.8207 0.6045 0.0117
0.5638 0.7476 0.4036
0.0964 0.7524 0.9362
0.0638 0.9036 0.2476
0.4036 0.5638 0.7476
0.9362 0.0964 0.7524
0.5117 0.1045 0.3207
0.0117 0.8207 0.6045
0.2524 0.5964 0.4362
0.6793 0.4883 0.8955
0.4883 0.8955 0.6793
0.1793 0.3955 0.9883
0.8955 0.6793 0.4883
0.1045 0.3207 0.5117
0.6045 0.0117 0.8207
0.9883 0.1793 0.3955
0.9036 0.2476 0.0638
0.9509 0.2500 0.5491
0.4509 0.0491 0.7500
0.2500 0.5491 0.9509
0.5491 0.9509 0.2500
0.0491 0.7500 0.4509
0.7500 0.4509 0.0491
0.8545 0.8545 0.8545
0.1455 0.1455 0.1455
0.3545 0.3545 0.3545
0.6455 0.6455 0.6455
0.5000 0.5000 0.5000
0.0000 0.0000 0.0000
```

Calculated values
The value obtained for the total energy is -7.233 eV/atom. For the density of states at the Fermi level, the calculation gives 7.2 states/eV per cell. As for the space group: R-3c, No. 167. As for the crystal system: trigonal. As for the total moment: 26.0 Bohr magnetons per cell.

***

# 6
# MnFePO2

A relaxed MnFePO2 crystal (GGA+U, Alexandria).

Structure (POSCAR):
```
MnFePO2
1.0
3.7162 0.0000 0.0000
0.0000 3.7162 0.0000
0.0000 0.0000 4.9992
O P Mn Fe
2 1 1 1
direct
0.5000 0.0000 0.0000
0.0000 0.5000 0.0000
0.0000 0.0000 0.5000
0.0000 0.0000 0.0000
0.5000 0.5000 0.5000
```

Calculated values
The value obtained for the total energy is -5.922 eV/atom. For the density of states at the Fermi level, the calculation gives 2.3 states/eV per cell. As for the space group: P4/mmm, No. 123. As for the crystal system: tetragonal. As for the total moment: 7.4 Bohr magnetons per cell.